Below is a relaxed AlSeN3 crystal, with properties calculated at the PBE-GGA level.

POSCAR file:
```
AlSeN3
1.0
3.7226 0.0000 0.0000
0.0000 3.7226 0.0000
0.0000 0.0000 3.7226
Al Se N
1 1 3
direct
0.0000 0.0000 0.0000
0.5000 0.5000 0.5000
0.0000 0.5000 0.5000
0.5000 0.0000 0.5000
0.5000 0.5000 0.0000
```

Calculated values
The energy relative to the elements, uncorrected is 1.657 eV/atom. The space group is Pm-3m (221). The calculation puts the calculated total energy at -23.921 eV per formula unit. As for the crystal system: cubic.